# LiTmF3 PBE optimized geometry
data_LiTmF3
_chemical_formula_sum 'Li4 Tm4 F12'
_cell_length_a 12.3854
_cell_length_b 3.7730
_cell_length_c 5.8443
_cell_angle_alpha 90.00
_cell_angle_beta 92.68
_cell_angle_gamma 90.00
_symmetry_space_group_name_H-M 'C 1 2/m 1'
_symmetry_Int_Tables_number 12
loop_
_symmetry_equiv_pos_as_xyz
'x,y,z'
'-x,-y,-z'
'-x,y,-z'
'x,-y,z'
'x+1/2,y+1/2,z'
'-x+1/2,-y+1/2,-z'
'-x+1/2,y+1/2,-z'
'x+1/2,-y+1/2,z'
loop_
_atom_site_label
_atom_site_fract_x
_atom_site_fract_y
_atom_site_fract_z
_atom_site_occupancy
Li1 0.1046 0.0000 0.3628 1
Tm1 0.1241 0.5000 0.8453 1
F1 0.0600 0.0000 0.6980 1
F2 0.1471 0.5000 0.4734 1
F3 0.1862 0.0000 0.0590 1
# Theoretical density ... 5.670 g/cm3
# ΔE_f (raw) ... -3.220 eV per atom
# Crystal system ... monoclinic

# Li2Tm2F7 PBE optimized geometry
data_Li2Tm2F7
_chemical_formula_sum 'Li4 Tm4 F14'
_cell_length_a 8.0532
_cell_length_b 7.3282
_cell_length_c 5.4412
_cell_angle_alpha 90.00
_cell_angle_beta 106.55
_cell_angle_gamma 90.00
_symmetry_space_group_name_H-M 'C 1 2/m 1'
_symmetry_Int_Tables_number 12
loop_
_symmetry_equiv_pos_as_xyz
'x,y,z'
'-x,-y,-z'
'-x,y,-z'
'x,-y,z'
'x+1/2,y+1/2,z'
'-x+1/2,-y+1/2,-z'
'-x+1/2,y+1/2,-z'
'x+1/2,-y+1/2,z'
loop_
_atom_site_label
_atom_site_fract_x
_atom_site_fract_y
_atom_site_fract_z
_atom_site_occupancy
Li1 0.0000 0.1991 0.0000 1
Tm1 0.2459 0.0000 0.5530 1
F1 0.0000 0.5000 0.5000 1
F2 0.0374 0.0000 0.7495 1
F3 0.2155 0.2266 0.2628 1
# Theoretical density ... 5.230 g/cm3
# ΔE_f (raw) ... -3.483 eV per atom
# Crystal system ... monoclinic